# Na3BeNb

Crystalline Na3BeNb at its relaxed geometry (GGA-PBE, Alexandria).

Cell: 5.0453 5.0453 5.0453 Å, 90.00 90.00 90.00°
Fractional positions:
1 Na 0.0000 0.0000 0.5000
2 Na 0.0000 0.5000 0.0000
3 Na 0.5000 0.0000 0.0000
4 Be 0.0000 0.0000 0.0000
5 Nb 0.5000 0.5000 0.5000

Calculated values
- space group = Pm-3m (221)
- energy of formation from the pure elements (meV per atom) = 1583
- energy above the lowest structure with this stoichiometry (meV per atom) = 0
- magnetic moment (μB per cell) = 0.0

# Tb6Pm2Dy3Tl

Crystalline Tb6Pm2Dy3Tl at its relaxed geometry (GGA-PBE, Alexandria).

Cell: 6.1209 6.1209 11.7525 Å, 95.01 95.01 120.06°
Fractional positions:
1 Tb 0.0830 0.4109 0.7501
2 Tb 0.2445 0.2445 0.2486
3 Tb 0.4109 0.0830 0.7501
4 Tb 0.5891 0.9170 0.2499
5 Tb 0.7555 0.7555 0.7514
6 Tb 0.9170 0.5891 0.2499
7 Pm 0.3339 0.6661 0.5000
8 Pm 0.6661 0.3339 0.5000
9 Dy 0.1670 0.8330 0.0000
10 Dy 0.5000 0.5000 0.0000
11 Dy 0.8330 0.1670 0.0000
12 Tl 0.0000 0.0000 0.5000

Calculated values
- space group = C2/m (12)
- energy of formation from the pure elements (meV per atom) = -28
- magnetic moment (μB per cell) = 0.0

# Cd3Rh

Crystalline Cd3Rh at its relaxed geometry (GGA-PBE, Alexandria).

Cell: 6.6828 6.6828 6.6828 Å, 90.00 90.00 90.00°
Fractional positions:
1 Cd 0.0000 0.0000 0.0000
2 Cd 0.0000 0.5000 0.5000
3 Cd 0.2500 0.2500 0.2500
4 Cd 0.2500 0.2500 0.7500
5 Cd 0.2500 0.7500 0.2500
6 Cd 0.2500 0.7500 0.7500
7 Cd 0.5000 0.0000 0.5000
8 Cd 0.5000 0.5000 0.0000
9 Cd 0.7500 0.2500 0.2500
10 Cd 0.7500 0.2500 0.7500
11 Cd 0.7500 0.7500 0.2500
12 Cd 0.7500 0.7500 0.7500
13 Rh 0.0000 0.0000 0.5000
14 Rh 0.0000 0.5000 0.0000
15 Rh 0.5000 0.0000 0.0000
16 Rh 0.5000 0.5000 0.5000

Calculated values
- space group = Fm-3m (225)
- energy of formation from the pure elements (meV per atom) = -41
- magnetic moment (μB per cell) = 0.0

# AlC2

Crystalline AlC2 at its relaxed geometry (GGA-PBE, Alexandria).

Cell: 5.0505 5.0505 5.0505 Å, 90.00 90.00 90.00°
Fractional positions:
1 Al 0.0000 0.0000 0.0000
2 Al 0.0000 0.5000 0.5000
3 Al 0.5000 0.0000 0.5000
4 Al 0.5000 0.5000 0.0000
5 C 0.0744 0.5744 0.9256
6 C 0.0744 0.9256 0.4256
7 C 0.4256 0.0744 0.9256
8 C 0.4256 0.4256 0.4256
9 C 0.5744 0.5744 0.5744
10 C 0.5744 0.9256 0.0744
11 C 0.9256 0.0744 0.5744
12 C 0.9256 0.4256 0.0744

Calculated values
- space group = Pa-3 (205)
- energy of formation from the pure elements (meV per atom) = 786
- energy above the lowest structure with this stoichiometry (meV per atom) = 499
- magnetic moment (μB per cell) = 0.0

# SrErPu2S4

Crystalline SrErPu2S4 at its relaxed geometry (GGA-PBE, Alexandria).

Cell: 6.9267 3.9954 7.0064 Å, 90.00 109.53 90.00°
Fractional positions:
1 Sr 0.0000 0.0000 0.0000
2 Er 0.0000 0.5000 0.5000
3 Pu 0.5000 0.0000 0.5000
4 Pu 0.5000 0.5000 0.0000
5 S 0.2487 0.0000 0.7402
6 S 0.2566 0.5000 0.2655
7 S 0.7434 0.5000 0.7345
8 S 0.7513 0.0000 0.2598

Calculated values
- space group = P2/m (10)
- formation energy (no corrections) (eV per atom) = -1.837
- magnetic moment (μB per cell) = 0.1

# Rb4BaPb2

Crystalline Rb4BaPb2 at its relaxed geometry (GGA-PBE, Alexandria).

Cell: 7.1471 7.1471 18.8038 Å, 90.00 90.00 90.00°
Fractional positions:
1 Rb 0.0000 0.0000 0.2280
2 Rb 0.0000 0.0000 0.7720
3 Rb 0.0000 0.5000 0.0000
4 Rb 0.0000 0.5000 0.5000
5 Rb 0.5000 0.0000 0.0000
6 Rb 0.5000 0.0000 0.5000
7 Rb 0.5000 0.5000 0.2720
8 Rb 0.5000 0.5000 0.7280
9 Ba 0.0000 0.0000 0.0000
10 Ba 0.5000 0.5000 0.5000
11 Pb 0.0000 0.0000 0.4198
12 Pb 0.0000 0.0000 0.5802
13 Pb 0.5000 0.5000 0.0802
14 Pb 0.5000 0.5000 0.9198

Calculated values
- space group = I4/mmm (139)
- energy of formation from the pure elements (meV per atom) = 325
- magnetic moment (μB per cell) = 0.0

# Ba3InP

Crystalline Ba3InP at its relaxed geometry (GGA-PBE, Alexandria).

Cell: 7.8641 7.8641 9.8567 Å, 106.68 106.68 48.12°
Fractional positions:
1 Ba 0.0888 0.0888 0.2253
2 Ba 0.1789 0.1789 0.6456
3 Ba 0.3656 0.3656 0.1061
4 Ba 0.6344 0.6344 0.8939
5 Ba 0.8211 0.8211 0.3544
6 Ba 0.9112 0.9112 0.7747
7 In 0.4086 0.4086 0.5401
8 In 0.5914 0.5914 0.4599
9 P 0.1373 0.1373 0.9399
10 P 0.8627 0.8627 0.0601

Calculated values
- space group = C2/m (12)
- energy of formation from the pure elements (meV per atom) = -628
- energy above the lowest structure with this stoichiometry (meV per atom) = 0
- magnetic moment (μB per cell) = 0.0

# KAgAsO4

Crystalline KAgAsO4 at its relaxed geometry (GGA-PBE, Alexandria).

Cell: 6.1716 6.1716 6.9614 Å, 90.00 90.00 90.00°
Fractional positions:
1 K 0.0000 0.0000 0.0000
2 K 0.5000 0.5000 0.5000
3 Ag 0.0000 0.0000 0.5000
4 Ag 0.5000 0.5000 0.0000
5 As 0.0000 0.5000 0.7500
6 As 0.5000 0.0000 0.2500
7 O 0.1338 0.3056 0.6154
8 O 0.1944 0.6338 0.8846
9 O 0.3056 0.8662 0.3846
10 O 0.3662 0.1944 0.1154
11 O 0.6338 0.8056 0.1154
12 O 0.6944 0.1338 0.3846
13 O 0.8056 0.3662 0.8846
14 O 0.8662 0.6944 0.6154

Calculated values
- space group = I-4 (82)
- formation energy (no corrections) (eV per atom) = -1.033
- magnetic moment (μB per cell) = 2.0